(a)
Below is a relaxed K2TlAgCl6 crystal, with properties calculated at the PBE level.

Unit cell a=7.302 b=7.302 c=7.453 alpha=119.89 beta=119.89 gamma=60.38
Fractional coordinates of all 10 atoms:
1 K 0.249 0.249 0.236
2 K 0.751 0.751 0.764
3 Tl 0.500 0.500 0.000
4 Ag 0.000 0.000 0.500
5 Cl 0.198 0.698 0.193
6 Cl 0.253 0.253 0.659
7 Cl 0.302 0.802 0.807
8 Cl 0.698 0.198 0.193
9 Cl 0.747 0.747 0.341
10 Cl 0.802 0.302 0.807

=====

(b)
Below is a relaxed K2TlAgCl6 crystal, with properties calculated at the PBE level.

Unit cell a=7.093 b=7.590 c=12.454 alpha=90.00 beta=124.11 gamma=90.00
Fractional coordinates of all 20 atoms:
1 K 0.222 0.082 0.250
2 K 0.222 0.418 0.750
3 K 0.778 0.582 0.250
4 K 0.778 0.918 0.750
5 Tl 0.500 0.000 0.000
6 Tl 0.500 0.500 0.500
7 Ag 0.000 0.000 0.500
8 Ag 0.000 0.500 0.000
9 Cl 0.147 0.189 0.953
10 Cl 0.147 0.311 0.453
11 Cl 0.267 0.699 0.955
12 Cl 0.267 0.801 0.455
13 Cl 0.346 0.017 0.751
14 Cl 0.346 0.483 0.251
15 Cl 0.654 0.517 0.749
16 Cl 0.654 0.983 0.249
17 Cl 0.733 0.199 0.545
18 Cl 0.733 0.301 0.045
19 Cl 0.853 0.689 0.547
20 Cl 0.853 0.811 0.047

=====

Short version: (a) is the least stable of them.